--- P ---
## Zr3P2 (GGA-PBE)

Data for Zr3P2 after structural relaxation.

Geometry as POSCAR:
```
Zr3P2
1.0
3.426 0.000 0.000
-1.713 6.857 0.000
0.000 0.000 8.297
Zr P
6 4
direct
0.467 0.935 0.250 Zr
0.533 0.065 0.750 Zr
0.339 0.677 0.563 Zr
0.661 0.323 0.437 Zr
0.661 0.323 0.063 Zr
0.339 0.677 0.937 Zr
0.000 0.000 0.500 P
0.000 0.000 0.000 P
0.268 0.535 0.250 P
0.732 0.465 0.750 P
```

- space group = Cmcm
- DOS(E_F) (states/eV per cell) = 8.94

=====

--- Q ---
## Zr3P2 (GGA-PBE)

Data for Zr3P2 after structural relaxation.

Geometry as POSCAR:
```
Zr3P2
1.0
2.049 -3.548 0.000
2.049 3.548 0.000
0.000 0.000 6.771
Zr P
3 2
direct
0.000 0.000 0.000 Zr
0.667 0.333 0.647 Zr
0.333 0.667 0.353 Zr
0.667 0.333 0.212 P
0.333 0.667 0.788 P
```

- space group = P-3m1
- DOS(E_F) (states/eV per cell) = 1.92

=====

Unit: kJ/mol of atoms. Relative energies: P 17.0; Q 0.0.